# 1
A relaxed Th2UTaC4 crystal, computed with PBE.

Cell lengths 6.975, 7.147, 9.996 Å; angles 90.00, 90.00, 90.00 degrees
Space group Imma (No. 74)
Symmetry-distinct sites (fractional):
Th: 0.000 0.000 0.000 (multiplicity 4)
Th: 0.250 0.250 0.250 (multiplicity 4)
U: 0.000 0.000 0.500 (multiplicity 4)
Ta: 0.250 0.250 0.750 (multiplicity 4)
C: 0.000 0.032 0.740 (multiplicity 8)
C: 0.223 0.250 0.523 (multiplicity 8)


# 2
A relaxed ThTa2VC4 crystal, computed with PBE.

Cell lengths 3.272, 11.364, 11.111 Å; angles 90.00, 90.00, 90.00 degrees
Space group Cmcm (No. 63)
Symmetry-distinct sites (fractional):
Th: 0.000 0.103 0.250 (multiplicity 4)
Ta: 0.000 0.371 0.041 (multiplicity 8)
V: 0.000 0.163 0.750 (multiplicity 4)
C: 0.000 0.000 0.000 (multiplicity 4)
C: 0.000 0.263 0.613 (multiplicity 8)
C: 0.000 0.434 0.250 (multiplicity 4)


# 3
A relaxed YTh2TaC4 crystal, computed with PBE.

Cell lengths 7.059, 7.186, 10.116 Å; angles 90.00, 90.00, 90.00 degrees
Space group Imma (No. 74)
Symmetry-distinct sites (fractional):
Y: 0.000 0.000 0.000 (multiplicity 4)
Th: 0.000 0.000 0.500 (multiplicity 4)
Th: 0.250 0.250 0.250 (multiplicity 4)
Ta: 0.250 0.250 0.750 (multiplicity 4)
C: 0.000 0.029 0.752 (multiplicity 8)
C: 0.250 0.250 0.521 (multiplicity 8)


# 4
A relaxed ThZrTaC3 crystal, computed with PBE.

Cell lengths 5.855, 3.476, 8.757 Å; angles 90.00, 102.59, 90.00 degrees
Space group P2_1/m (No. 11)
Symmetry-distinct sites (fractional):
Th: 0.147 0.250 0.194 (multiplicity 2)
Zr: 0.267 0.750 0.545 (multiplicity 2)
Ta: 0.370 0.250 0.860 (multiplicity 2)
C: 0.066 0.250 0.665 (multiplicity 2)
C: 0.272 0.750 0.980 (multiplicity 2)
C: 0.462 0.750 0.339 (multiplicity 2)


# 5
A relaxed TaTi2C3 crystal, computed with PBE.

Cell lengths 6.210, 4.395, 9.309 Å; angles 90.00, 90.00, 90.00 degrees
Space group Pnma (No. 62)
Symmetry-distinct sites (fractional):
Ta: 0.127 0.250 0.085 (multiplicity 4)
Ti: 0.124 0.250 0.417 (multiplicity 4)
Ti: 0.124 0.250 0.749 (multiplicity 4)
C: 0.123 0.750 0.416 (multiplicity 4)
C: 0.124 0.750 0.750 (multiplicity 4)
C: 0.128 0.750 0.084 (multiplicity 4)


# 6
A relaxed Ta2TiC3 crystal, computed with PBE.

Cell lengths 3.133, 4.448, 9.403 Å; angles 90.00, 90.00, 90.00 degrees
Space group Immm (No. 71)
Symmetry-distinct sites (fractional):
Ta: 0.000 0.000 0.165 (multiplicity 4)
Ti: 0.000 0.000 0.500 (multiplicity 2)
C: 0.000 0.500 0.164 (multiplicity 4)
C: 0.000 0.500 0.500 (multiplicity 2)


# 7
A relaxed TaTi2C crystal, computed with PBE.

Cell lengths 3.0093, 3.0093, 23.1803 Å; angles 90.00, 90.00, 120.00 degrees
Space group R-3m (No. 166, hexagonal axes)
Symmetry-distinct sites (fractional):
Ta: 0.0000 0.0000 0.0000 (multiplicity 3)
Ti: 0.0000 0.0000 0.1162 (multiplicity 6)
C: 0.0000 0.0000 0.5000 (multiplicity 3)


# 8
A relaxed Ta5TiC3 crystal, computed with PBE.

Cell lengths 9.648, 7.298, 7.919 Å; angles 90.00, 115.01, 90.00 degrees
Space group C2/m (No. 12)
Symmetry-distinct sites (fractional):
Ta: 0.000 0.206 0.000 (multiplicity 4)
Ta: 0.068 0.000 0.364 (multiplicity 4)
Ta: 0.165 0.295 0.665 (multiplicity 8)
Ta: 0.234 0.500 0.031 (multiplicity 4)
Ti: 0.099 0.500 0.303 (multiplicity 4)
C: 0.000 0.500 0.000 (multiplicity 2)
C: 0.000 0.500 0.500 (multiplicity 2)
C: 0.167 0.000 0.167 (multiplicity 4)
C: 0.169 0.000 0.666 (multiplicity 4)


Formation energy values, unit eV/atom, following the record order: -0.317 -0.405 -0.251 -0.497 -0.788 -0.718 -0.182 -0.522.